*A*
# Cd2PF

Crystalline Cd2PF at its relaxed geometry (PBE-GGA, Alexandria via LeMat-Bulk).

a = 5.4588 Å, b = 5.4588 Å, c = 7.3901 Å
α = 68.33°, β = 68.33°, γ = 90.00°
With the nearest neighbours (Å) after each atom.
Atoms (fractional coordinates):
Cd 0.1273 0.6250 0.2500  2 F 2.48, 2 P 2.50
Cd 0.8750 0.8727 0.7500  2 F 2.48, 2 P 2.50
Cd 0.3750 0.3773 0.7500  2 F 2.48, 2 P 2.50
Cd 0.6227 0.1250 0.2500  2 F 2.48, 2 P 2.50
P 0.0000 0.0000 0.0000  4 Cd 2.50
P 0.7500 0.2500 0.5000  4 Cd 2.50
F 0.5000 0.5000 0.0000  4 Cd 2.48
F 0.2500 0.7500 0.5000  4 Cd 2.48

Values from the calculation:
Space-group type: No. 122


*B*
# Cd2PF

Crystalline Cd2PF at its relaxed geometry (PBE-GGA, Alexandria via LeMat-Bulk).

a = 4.5848 Å, b = 4.5848 Å, c = 4.5848 Å
α = 60.00°, β = 60.00°, γ = 60.00°
With the nearest neighbours (Å) after each atom.
Atoms (fractional coordinates):
P 0.5000 0.5000 0.5000  8 Cd 2.81
F 0.0000 0.0000 0.0000  8 Cd 2.81
Cd 0.2500 0.2500 0.2500  4 F 2.81, 4 P 2.81
Cd 0.7500 0.7500 0.7500  4 F 2.81, 4 P 2.81

Values from the calculation:
Space-group type: No. 225


*C*
# Cd2PF

Crystalline Cd2PF at its relaxed geometry (PBE-GGA, Alexandria via LeMat-Bulk).

a = 4.4401 Å, b = 4.1607 Å, c = 9.0134 Å
α = 90.00°, β = 90.01°, γ = 90.00°
With the nearest neighbours (Å) after each atom.
Atoms (fractional coordinates):
P 0.7009 0.3052 0.9249  5 Cd 2.54-2.70
P 0.2010 0.8052 0.2911  5 Cd 2.54-2.70
Cd 0.7010 0.6414 0.1777  3 P 2.54-2.67
Cd 0.7010 0.7867 0.7446  3 F 2.36-2.40, 1 P 2.58
Cd 0.2009 0.1414 0.0382  3 P 2.54-2.67
Cd 0.2011 0.2867 0.4713  3 F 2.36-2.40, 1 P 2.58
F 0.2011 0.7001 0.6506  3 Cd 2.36-2.40
F 0.7009 0.2001 0.5654  3 Cd 2.36-2.40

Values from the calculation:
Space-group type: No. 31


*D*
# Cd2PF

Crystalline Cd2PF at its relaxed geometry (PBE-GGA, Alexandria via LeMat-Bulk).

a = 4.1711 Å, b = 4.1711 Å, c = 7.1147 Å
α = 72.95°, β = 72.95°, γ = 60.00°
With the nearest neighbours (Å) after each atom.
Atoms (fractional coordinates):
Cd 0.1076 0.1076 0.6771  1 F 2.16
Cd 0.8924 0.8924 0.3229  1 F 2.16
P 0.5000 0.5000 0.5000  6 Cd 2.68
F 0.0000 0.0000 0.0000  2 Cd 2.16

Values from the calculation:
Space-group type: No. 166


Which of them is least stable? Easy: *B*.


*A*
# CdPF

Crystalline CdPF at its relaxed geometry (PBE-GGA, Alexandria via LeMat-Bulk).

a = 3.3294 Å, b = 5.0222 Å, c = 8.4748 Å
α = 92.02°, β = 90.12°, γ = 48.23°
With the nearest neighbours (Å) after each atom.
Atoms (fractional coordinates):
Cd 0.0108 0.2394 0.8256  3 F 2.30-2.56, 1 P 2.55
Cd 0.9892 0.7606 0.1744  3 F 2.30-2.56, 1 P 2.55
F 0.0120 0.7368 0.9026  3 Cd 2.30-2.56
F 0.9880 0.2632 0.0974  3 Cd 2.30-2.56
P 0.9447 0.8071 0.4758  2 P 2.22-2.23
P 0.0553 0.1929 0.5242  2 P 2.22-2.23

Values from the calculation:
Space-group type: No. 2


*B*
# CdPF

Crystalline CdPF at its relaxed geometry (PBE-GGA, Alexandria via LeMat-Bulk).

a = 3.7895 Å, b = 4.3682 Å, c = 8.0436 Å
α = 88.15°, β = 90.00°, γ = 115.71°
With the nearest neighbours (Å) after each atom.
Atoms (fractional coordinates):
F 0.1615 0.3229 0.4410  3 Cd 2.27-2.42
F 0.8385 0.6771 0.5590  3 Cd 2.27-2.42
P 0.9958 0.9915 0.8744  1 P 2.02
P 0.0042 0.0085 0.1256  1 P 2.02
Cd 0.7078 0.4157 0.2917  3 F 2.27-2.42
Cd 0.2922 0.5843 0.7083  3 F 2.27-2.42

Values from the calculation:
Space-group type: No. 12


Which of them is least stable? Easy: *B*.


*A*
# CdP3F

Crystalline CdP3F at its relaxed geometry (PBE-GGA, Alexandria via LeMat-Bulk).

a = 4.4442 Å, b = 4.4442 Å, c = 4.4442 Å
α = 90.00°, β = 90.00°, γ = 90.00°
With the nearest neighbours (Å) after each atom.
Atoms (fractional coordinates):
Cd 0.5000 0.5000 0.5000  12 P 3.14
P 0.5000 0.0000 0.0000  2 F 2.22
P 0.0000 0.5000 0.0000  2 F 2.22
P 0.0000 0.0000 0.5000  2 F 2.22
F 0.0000 0.0000 0.0000  6 P 2.22

Values from the calculation:
Space-group type: No. 221


*B*
# CdP3F

Crystalline CdP3F at its relaxed geometry (PBE-GGA, Alexandria via LeMat-Bulk).

a = 4.9785 Å, b = 4.9785 Å, c = 4.9785 Å
α = 90.00°, β = 90.00°, γ = 90.00°
With the nearest neighbours (Å) after each atom.
Atoms (fractional coordinates):
P 0.0000 0.0000 0.5000  2 Cd 2.49
P 0.5000 0.0000 0.0000  2 Cd 2.49
P 0.0000 0.5000 0.0000  2 Cd 2.49
F 0.5000 0.5000 0.5000  12 P 3.52
Cd 0.0000 0.0000 0.0000  6 P 2.49

Values from the calculation:
Space-group type: No. 221


Which of them is least stable? Easy: *B*.


*A*
# Cd2PbF7

Crystalline Cd2PbF7 at its relaxed geometry (PBE-GGA, Alexandria via LeMat-Bulk).

a = 3.8475 Å, b = 3.8475 Å, c = 9.2991 Å
α = 101.94°, β = 101.94°, γ = 90.00°
With the nearest neighbours (Å) after each atom.
Atoms (fractional coordinates):
F 0.0959 0.5959 0.1918  2 Cd 2.35, 2 F 2.57, 2 Pb 2.57
F 0.4041 0.9041 0.8082  2 Cd 2.35, 2 Pb 2.57, 2 F 2.57
F 0.5000 0.5000 0.0000  8 F 2.57, 4 Pb 2.72
F 0.2500 0.7500 0.5000  4 Cd 2.37
F 0.9041 0.4041 0.8082  2 Cd 2.35, 2 F 2.57, 2 Pb 2.57
F 0.7500 0.2500 0.5000  4 Cd 2.37
F 0.5959 0.0959 0.1918  2 Cd 2.35, 2 Pb 2.57, 2 F 2.57
Cd 0.6722 0.6722 0.3443  8 F 2.35-2.37
Cd 0.3278 0.3278 0.6557  8 F 2.35-2.37
Pb 0.0000 0.0000 0.0000  12 F 2.57-2.72

Values from the calculation:
Space-group type: No. 139


*B*
# Cd2PbF7

Crystalline Cd2PbF7 at its relaxed geometry (PBE-GGA, Alexandria via LeMat-Bulk).

a = 4.1789 Å, b = 6.5193 Å, c = 6.5193 Å
α = 114.75°, β = 90.00°, γ = 90.00°
With the nearest neighbours (Å) after each atom.
Atoms (fractional coordinates):
F 0.5000 0.9339 0.6881  2 Cd 2.33-2.35, 1 F 2.57
F 0.0000 0.2410 0.7590  2 Cd 2.18
F 0.0000 0.7590 0.2410  2 Cd 2.18
F 0.5000 0.0661 0.3119  2 Cd 2.33-2.35, 1 F 2.57
F 0.5000 0.6881 0.9339  2 Cd 2.33-2.35, 1 F 2.57
F 0.5000 0.3119 0.0661  2 Cd 2.33-2.35, 1 F 2.57
F 0.5000 0.5000 0.5000  2 Cd 2.22
Cd 0.5000 0.2975 0.7025  7 F 2.18-2.35
Cd 0.5000 0.7025 0.2975  7 F 2.18-2.35
Pb 0.0000 0.0000 0.0000  10 F 2.65-2.82

Values from the calculation:
Space-group type: No. 65


Which of them is least stable? Easy: *B*.


*A*
# CdPb2F6

Crystalline CdPb2F6 at its relaxed geometry (PBE-GGA, Alexandria via LeMat-Bulk).

a = 4.1485 Å, b = 5.8209 Å, c = 7.1014 Å
α = 114.20°, β = 106.98°, γ = 90.00°
With the nearest neighbours (Å) after each atom.
Atoms (fractional coordinates):
Cd 0.0000 0.0000 0.0000  8 F 2.37-2.48
Pb 0.3377 0.3376 0.6753  8 F 2.52-2.64
Pb 0.6623 0.6624 0.3247  8 F 2.52-2.64
F 0.1554 0.3964 0.3109  1 Cd 2.37, 3 Pb 2.57-2.64
F 0.8446 0.0855 0.6891  1 Cd 2.37, 3 Pb 2.57-2.64
F 0.5000 0.7662 0.0000  2 Cd 2.48, 2 Pb 2.52, 1 F 2.72
F 0.5000 0.2338 0.0000  2 Cd 2.48, 2 Pb 2.52, 1 F 2.72
F 0.1554 0.9145 0.3109  1 Cd 2.37, 3 Pb 2.57-2.64
F 0.8446 0.6036 0.6891  1 Cd 2.37, 3 Pb 2.57-2.64

Values from the calculation:
Space-group type: No. 71


*B*
# CdPb2F6

Crystalline CdPb2F6 at its relaxed geometry (PBE-GGA, Alexandria via LeMat-Bulk).

a = 6.2811 Å, b = 6.8746 Å, c = 7.9952 Å
α = 90.00°, β = 94.49°, γ = 90.00°
With the nearest neighbours (Å) after each atom.
Atoms (fractional coordinates):
Pb 0.5069 0.9212 0.7579  3 F 2.31-2.45
Pb 0.0069 0.5788 0.2579  3 F 2.31-2.45
Pb 0.4931 0.0788 0.2421  3 F 2.31-2.45
Pb 0.9931 0.4212 0.7421  3 F 2.31-2.45
F 0.9039 0.6863 0.5563  1 Cd 2.29, 1 Pb 2.39
F 0.6778 0.4264 0.2467  1 Cd 2.25, 1 Pb 2.31
F 0.1778 0.0736 0.7467  1 Cd 2.25, 1 Pb 2.31
F 0.5961 0.1863 0.9437  1 Cd 2.29, 1 Pb 2.39
F 0.8132 0.6265 0.9376  1 Cd 2.24, 1 Pb 2.45
F 0.6868 0.1265 0.5624  1 Cd 2.24, 1 Pb 2.45
F 0.3222 0.5736 0.7533  1 Cd 2.25, 1 Pb 2.31
F 0.8222 0.9264 0.2533  1 Cd 2.25, 1 Pb 2.31
F 0.3132 0.8735 0.4376  1 Cd 2.24, 1 Pb 2.45
F 0.4039 0.8137 0.0563  1 Cd 2.29, 1 Pb 2.39
F 0.0961 0.3137 0.4437  1 Cd 2.29, 1 Pb 2.39
F 0.1868 0.3735 0.0624  1 Cd 2.24, 1 Pb 2.45
Cd 0.5000 0.5000 0.0000  6 F 2.24-2.29
Cd 0.0000 0.0000 0.5000  6 F 2.24-2.29

Values from the calculation:
Space-group type: No. 14


Which of them is least stable? Easy: *B*.


*A*
# CdPdF4

Crystalline CdPdF4 at its relaxed geometry (PBE-GGA, Alexandria via LeMat-Bulk).

a = 5.5812 Å, b = 5.5812 Å, c = 6.6369 Å
α = 114.86°, β = 114.86°, γ = 90.00°
With the nearest neighbours (Å) after each atom.
Atoms (fractional coordinates):
F 0.9578 0.4578 0.2718  1 Pd 2.02
F 0.3140 0.8140 0.2718  1 Pd 2.02
F 0.0422 0.5422 0.7282  1 Pd 2.02
F 0.1860 0.0422 0.7282  1 Pd 2.02
F 0.8140 0.9578 0.2718  1 Pd 2.02
F 0.5422 0.6860 0.7282  1 Pd 2.02
F 0.6860 0.1860 0.7282  1 Pd 2.02
F 0.4578 0.3140 0.2718  1 Pd 2.02
Pd 0.0000 0.5000 0.0000  4 F 2.02
Pd 0.5000 0.0000 0.0000  4 F 2.02
Cd 0.7500 0.7500 0.5000  8 F 2.39
Cd 0.2500 0.2500 0.5000  8 F 2.39

Values from the calculation:
Space-group type: No. 140


*B*
# CdPdF4

Crystalline CdPdF4 at its relaxed geometry (PBE-GGA, Alexandria via LeMat-Bulk).

a = 5.4981 Å, b = 5.5081 Å, c = 5.5291 Å
α = 88.57°, β = 90.00°, γ = 90.00°
With the nearest neighbours (Å) after each atom.
Atoms (fractional coordinates):
F 0.3420 0.6524 0.6633  1 Pd 2.20, 2 Cd 2.26-2.27
F 0.6580 0.3476 0.3367  1 Pd 2.20, 2 Cd 2.26-2.27
F 0.1716 0.3232 0.1631  2 Pd 2.23, 1 Cd 2.32
F 0.6716 0.1768 0.8369  2 Pd 2.23, 1 Cd 2.32
F 0.8284 0.6768 0.8369  2 Pd 2.23, 1 Cd 2.32
F 0.8420 0.8476 0.3367  1 Pd 2.20, 2 Cd 2.26-2.27
F 0.1580 0.1524 0.6633  1 Pd 2.20, 2 Cd 2.26-2.27
F 0.3284 0.8232 0.1631  2 Pd 2.23, 1 Cd 2.32
Pd 0.0000 0.0000 0.0000  6 F 2.20-2.23
Pd 0.5000 0.5000 0.0000  6 F 2.20-2.23
Cd 0.5000 0.0000 0.5000  6 F 2.26-2.32
Cd 0.0000 0.5000 0.5000  6 F 2.26-2.32

Values from the calculation:
Space-group type: No. 14


*C*
# CdPdF4

Crystalline CdPdF4 at its relaxed geometry (PBE-GGA, Alexandria via LeMat-Bulk).

a = 4.3469 Å, b = 4.3469 Å, c = 6.8695 Å
α = 108.44°, β = 108.44°, γ = 90.00°
With the nearest neighbours (Å) after each atom.
Atoms (fractional coordinates):
F 0.8598 0.4096 0.2594  1 Pd 2.11, 1 Cd 2.16
F 0.1502 0.1402 0.7406  1 Pd 2.11, 1 Cd 2.16
F 0.3996 0.8498 0.2594  1 Pd 2.11, 1 Cd 2.16
F 0.5904 0.6004 0.7406  1 Pd 2.11, 1 Cd 2.16
Cd 0.7500 0.2500 0.5000  4 F 2.16
Pd 0.5000 0.5000 0.0000  4 F 2.11

Values from the calculation:
Space-group type: No. 82


Which of them is least stable? Easy: *C*.